Model i:
A plane-wave DFT calculation with GGA-PBE was carried out for a relaxed BaSbTe2H crystal.

Lattice parameters (Å, degrees): 6.750 6.750 6.900 90.00 90.00 90.00
Each line ends with the local moment (μB).
Positions (direct):
Te (0.500, 0.000, 0.000)  -0.49
Te (0.000, 0.500, 0.000)  -0.49
H (0.500, 0.500, 0.500)  0.38
Ba (0.000, 0.000, 0.000)  0.03
Sb (0.000, 0.000, 0.500)  0.71

## Properties
D(E_F) ... 1.188 states/eV/atom
Size of the total moment ... 0.97 μB/f.u.
Calculated volume ... 62.9 Å³ per atom
Space-group type ... P4/mmm, No. 123

Model ii:
A plane-wave DFT calculation with GGA-PBE was carried out for a relaxed BaSbTe2H crystal.

Lattice parameters (Å, degrees): 5.779 5.779 4.120 90.00 90.00 90.00
Positions (direct):
H (0.000, 0.000, 0.000)
Ba (0.500, 0.500, 0.500)
Sb (0.000, 0.000, 0.500)
Te (0.000, 0.500, 0.000)
Te (0.500, 0.000, 0.000)

## Properties
D(E_F) ... 0.459 states/eV/atom
Size of the total moment ... 0.00 μB/f.u.
Calculated volume ... 27.5 Å³ per atom
Space-group type ... P4/mmm, No. 123

Which is the most stable structure? model ii is the most stable.

Model i:
A plane-wave DFT calculation with GGA-PBE was carried out for a relaxed BaSb2TeH crystal.

Lattice parameters (Å, degrees): 6.613 6.552 6.613 90.00 90.00 90.00
Each line ends with the local moment (μB).
Positions (direct):
Ba (0.000, 0.000, 0.000)  0.01
Te (0.000, 0.500, 0.000)  -0.17
Sb (0.000, 0.000, 0.500)  0.36
Sb (0.500, 0.000, 0.000)  0.23
H (0.500, 0.500, 0.500)  0.38

## Properties
D(E_F) ... 1.269 states/eV/atom
Size of the total moment ... 2.24 μB/f.u.
Calculated volume ... 57.3 Å³ per atom
Space-group type ... P4/mmm, No. 123

Model ii:
A plane-wave DFT calculation with GGA-PBE was carried out for a relaxed BaSb2TeH crystal.

Lattice parameters (Å, degrees): 4.732 4.732 6.117 90.00 90.00 90.00
Positions (direct):
Te (0.000, 0.000, 0.500)
Sb (0.000, 0.500, 0.000)
Sb (0.500, 0.000, 0.000)
H (0.000, 0.000, 0.000)
Ba (0.500, 0.500, 0.500)

## Properties
D(E_F) ... 0.748 states/eV/atom
Size of the total moment ... 0.00 μB/f.u.
Calculated volume ... 27.4 Å³ per atom
Space-group type ... P4/mmm, No. 123

Which is the most stable structure? model ii is the most stable.

Model i:
A plane-wave DFT calculation with GGA-PBE was carried out for a relaxed BaH2Se crystal.

Lattice parameters (Å, degrees): 4.622 4.622 4.622 60.00 60.00 60.00
Positions (direct):
H (0.750, 0.750, 0.750)
H (0.250, 0.250, 0.250)
Ba (0.500, 0.500, 0.500)
Se (0.000, 0.000, 0.000)

## Properties
D(E_F) ... 0.212 states/eV/atom
Size of the total moment ... 0.00 μB/f.u.
Calculated volume ... 17.5 Å³ per atom
Space-group type ... Fm-3m, No. 225

Model ii:
A plane-wave DFT calculation with GGA-PBE was carried out for a relaxed BaH2Se crystal.

Lattice parameters (Å, degrees): 4.614 10.247 4.661 90.00 90.00 116.61
Positions (direct):
H (0.709, 0.457, 0.831)
H (0.291, 0.543, 0.331)
H (0.291, 0.543, 0.169)
H (0.709, 0.457, 0.669)
Se (0.575, 0.824, 0.750)
Se (0.425, 0.176, 0.250)
Ba (0.926, 0.176, 0.750)
Ba (0.074, 0.824, 0.250)

## Properties
D(E_F) ... 0.000 states/eV/atom
Size of the total moment ... 0.00 μB/f.u.
Calculated volume ... 24.6 Å³ per atom
Space-group type ... P2_1/m, No. 11

Which is the most stable structure? model ii is the most stable.

Model i:
A plane-wave DFT calculation with GGA-PBE was carried out for a relaxed BaHSe3 crystal.

Lattice parameters (Å, degrees): 4.767 4.767 4.767 90.00 90.00 90.00
Positions (direct):
Se (0.000, 0.500, 0.000)
Se (0.000, 0.000, 0.500)
Se (0.500, 0.000, 0.000)
H (0.000, 0.000, 0.000)
Ba (0.500, 0.500, 0.500)

## Properties
D(E_F) ... 0.764 states/eV/atom
Size of the total moment ... 0.00 μB/f.u.
Calculated volume ... 21.7 Å³ per atom
Space-group type ... Pm-3m, No. 221

Model ii:
A plane-wave DFT calculation with GGA-PBE was carried out for a relaxed BaHSe3 crystal.

Lattice parameters (Å, degrees): 6.497 6.497 6.497 90.00 90.00 90.00
Each line ends with the local moment (μB).
Positions (direct):
Se (0.500, 0.000, 0.000)  0.68
Se (0.000, 0.000, 0.500)  0.88
Se (0.000, 0.500, 0.000)  0.75
H (0.500, 0.500, 0.500)  0.38
Ba (0.000, 0.000, 0.000)  -0.02

## Properties
D(E_F) ... 0.988 states/eV/atom
Size of the total moment ... 5.00 μB/f.u.
Calculated volume ... 54.8 Å³ per atom
Space-group type ... Pm-3m, No. 221

Which is the most stable structure? model i is the most stable.

Model i:
A plane-wave DFT calculation with GGA-PBE was carried out for a relaxed BaSiH2 crystal.

Lattice parameters (Å, degrees): 4.532 4.532 4.532 60.00 60.00 60.00
Positions (direct):
Si (0.000, 0.000, 0.000)
Ba (0.500, 0.500, 0.500)
H (0.750, 0.750, 0.750)
H (0.250, 0.250, 0.250)

## Properties
D(E_F) ... 0.344 states/eV/atom
Size of the total moment ... 0.00 μB/f.u.
Calculated volume ... 16.5 Å³ per atom
Space-group type ... Fm-3m, No. 225

Model ii:
A plane-wave DFT calculation with GGA-PBE was carried out for a relaxed BaSiH2 crystal.

Lattice parameters (Å, degrees): 4.773 4.773 6.732 69.24 69.24 90.00
Positions (direct):
Ba (0.750, 0.250, 0.500)
Ba (0.000, 0.000, 0.000)
H (0.402, 0.125, 0.250)
H (0.875, 0.652, 0.750)
H (0.375, 0.598, 0.750)
H (0.348, 0.625, 0.250)
Si (0.250, 0.750, 0.500)
Si (0.500, 0.500, 0.000)

## Properties
D(E_F) ... 0.147 states/eV/atom
Size of the total moment ... 0.00 μB/f.u.
Calculated volume ... 16.6 Å³ per atom
Space-group type ... I-42d, No. 122

Which is the most stable structure? model ii is the most stable.

Model i:
A plane-wave DFT calculation with GGA-PBE was carried out for a relaxed Ba2SiH crystal.

Lattice parameters (Å, degrees): 5.098 5.098 8.766 73.09 73.09 60.00
Each line ends with the local moment (μB).
Positions (direct):
H (0.000, 0.000, 0.000)  0.00
Si (0.500, 0.500, 0.500)  0.23
Ba (0.101, 0.101, 0.698)  0.05
Ba (0.899, 0.899, 0.302)  0.05

## Properties
D(E_F) ... 0.785 states/eV/atom
Size of the total moment ... 1.03 μB/f.u.
Calculated volume ... 46.5 Å³ per atom
Space-group type ... R-3m, No. 166

Model ii:
A plane-wave DFT calculation with GGA-PBE was carried out for a relaxed Ba2SiH crystal.

Lattice parameters (Å, degrees): 5.535 5.535 5.535 60.00 60.00 60.00
Each line ends with the local moment (μB).
Positions (direct):
Si (0.500, 0.500, 0.500)  0.21
Ba (0.750, 0.750, 0.750)  0.05
Ba (0.250, 0.250, 0.250)  0.05
H (0.000, 0.000, 0.000)  0.04

## Properties
D(E_F) ... 0.838 states/eV/atom
Size of the total moment ... 0.96 μB/f.u.
Calculated volume ... 30.0 Å³ per atom
Space-group type ... Fm-3m, No. 225

Which is the most stable structure? model ii is the most stable.

Model i:
A plane-wave DFT calculation with GGA-PBE was carried out for a relaxed BaSiH crystal.

Lattice parameters (Å, degrees): 4.475 3.970 9.195 102.47 104.08 90.00
Positions (direct):
Si (0.251, 0.500, 0.000)
Si (0.749, 0.500, 0.000)
H (0.804, 0.304, 0.607)
H (0.196, 0.696, 0.393)
Ba (0.646, 0.146, 0.293)
Ba (0.354, 0.854, 0.707)

## Properties
D(E_F) ... 0.170 states/eV/atom
Size of the total moment ... 0.00 μB/f.u.
Calculated volume ... 25.7 Å³ per atom
Space-group type ... Immm, No. 71

Model ii:
A plane-wave DFT calculation with GGA-PBE was carried out for a relaxed BaSiH crystal.

Lattice parameters (Å, degrees): 4.211 4.199 9.356 103.10 90.00 120.09
Positions (direct):
H (0.303, 0.606, 0.408)
H (0.697, 0.394, 0.592)
Si (0.844, 0.689, 0.035)
Si (0.156, 0.311, 0.965)
Ba (0.598, 0.196, 0.292)
Ba (0.402, 0.804, 0.708)

## Properties
D(E_F) ... 0.304 states/eV/atom
Size of the total moment ... 0.00 μB/f.u.
Calculated volume ... 23.0 Å³ per atom
Space-group type ... C2/m, No. 12

Model iii:
A plane-wave DFT calculation with GGA-PBE was carried out for a relaxed BaSiH crystal.

Lattice parameters (Å, degrees): 3.996 9.141 8.310 90.00 90.00 90.00
Positions (direct):
Si (0.750, 0.957, 0.945)
Si (0.250, 0.043, 0.055)
Si (0.250, 0.457, 0.555)
Si (0.750, 0.543, 0.445)
Ba (0.250, 0.836, 0.647)
Ba (0.250, 0.664, 0.147)
Ba (0.750, 0.336, 0.853)
Ba (0.750, 0.164, 0.353)
H (0.250, 0.106, 0.540)
H (0.250, 0.394, 0.040)
H (0.750, 0.894, 0.460)
H (0.750, 0.606, 0.960)

## Properties
D(E_F) ... 0.477 states/eV/atom
Size of the total moment ... 0.00 μB/f.u.
Calculated volume ... 25.3 Å³ per atom
Space-group type ... Pnma, No. 62

Which is the most stable structure? model ii is the most stable.

Model i:
A plane-wave DFT calculation with GGA-PBE was carried out for a relaxed BaSiH3 crystal.

Lattice parameters (Å, degrees): 4.013 4.013 4.013 90.00 90.00 90.00
Positions (direct):
H (0.000, 0.000, 0.500)
H (0.000, 0.500, 0.000)
H (0.500, 0.000, 0.000)
Si (0.000, 0.000, 0.000)
Ba (0.500, 0.500, 0.500)

## Properties
D(E_F) ... 0.218 states/eV/atom
Size of the total moment ... 0.00 μB/f.u.
Calculated volume ... 12.9 Å³ per atom
Space-group type ... Pm-3m, No. 221

Model ii:
A plane-wave DFT calculation with GGA-PBE was carried out for a relaxed BaSiH3 crystal.

Lattice parameters (Å, degrees): 4.558 5.131 6.647 90.00 110.07 90.00
Positions (direct):
H (0.750, 0.250, 0.852)
H (0.667, 0.525, 0.344)
H (0.333, 0.475, 0.656)
H (0.333, 0.025, 0.656)
H (0.667, 0.975, 0.344)
H (0.250, 0.750, 0.148)
Ba (0.114, 0.250, 0.261)
Ba (0.886, 0.750, 0.739)
Si (0.396, 0.250, 0.842)
Si (0.604, 0.750, 0.158)

## Properties
D(E_F) ... 0.316 states/eV/atom
Size of the total moment ... 0.00 μB/f.u.
Calculated volume ... 14.6 Å³ per atom
Space-group type ... P2_1/m, No. 11

Which is the most stable structure? model ii is the most stable.